A plane-wave DFT calculation with PBE was carried out for NbV2HRu after structural relaxation.

Properties
Energy relative to the lowest polymorph listed for this composition, meV/atom: 7.8
DOS at the Fermi energy, states/eV/f.u.: 4.510
Crystal system: tetragonal
Total energy, eV/atom: -8.244
Density, kg/m3: 7943

Cell: 3.7472 3.7472 4.4196 Å, 90.00 90.00 90.00°
Closest atoms and distances in Å follow each position.
Fractional positions:
Nb (0.0000, 0.0000, 0.0000)  2 H 2.21
V (0.0000, 0.5000, 0.5000)  2 H 1.87
V (0.5000, 0.0000, 0.5000)  2 H 1.87
H (0.0000, 0.0000, 0.5000)  4 V 1.87
Ru (0.5000, 0.5000, 0.0000)  4 Nb 2.65, 8 V 2.90